(1)
An optimized crystal structure of YAsPBr2, computed with PBE-GGA.

Raw formation energy   -12 kJ/mol of atoms
Total magnetization   0.200 μB/atom

Cell: 5.4430 5.4430 5.9926 Å, 90.00 90.00 90.00°
Closest atoms and distances in Å follow each position.
Fractional positions:
Y (0.0000, 0.0000, 0.0000)  4 Br 2.72, 2 As 3.00
As (0.0000, 0.0000, 0.5000)  2 Y 3.00
P (0.5000, 0.5000, 0.5000)  4 As 3.85, 8 Br 4.05
Br (0.0000, 0.5000, 0.0000)  2 Y 2.72
Br (0.5000, 0.0000, 0.0000)  2 Y 2.72

***

(2)
An optimized crystal structure of CaZnSe2O6, computed with PBE-GGA.

Raw formation energy   -125 kJ/mol of atoms
Total magnetization   0.000 μB/atom

Cell: 6.3251 6.3251 6.3251 Å, 50.15 50.15 50.15°
Closest atoms and distances in Å follow each position.
Fractional positions:
Ca (0.0000, 0.0000, 0.0000)  6 O 2.45
Zn (0.5000, 0.5000, 0.5000)  6 O 2.20
Se (0.2799, 0.2799, 0.2799)  3 O 1.75
Se (0.7201, 0.7201, 0.7201)  3 O 1.75
O (0.0681, 0.7476, 0.4614)  1 Se 1.75
O (0.2524, 0.5386, 0.9319)  1 Se 1.75
O (0.4614, 0.0681, 0.7476)  1 Se 1.75
O (0.5386, 0.9319, 0.2524)  1 Se 1.75
O (0.7476, 0.4614, 0.0681)  1 Se 1.75
O (0.9319, 0.2524, 0.5386)  1 Se 1.75

***

(3)
An optimized crystal structure of FeGeAs2Se, computed with PBE-GGA.

Raw formation energy   102 kJ/mol of atoms
Total magnetization   0.624 μB/atom

Cell: 4.9121 4.9121 4.9303 Å, 90.00 90.00 90.00°
Closest atoms and distances in Å follow each position.
Fractional positions:
Fe (0.0000, 0.0000, 0.0000)  4 Se 3.47, 8 As 3.48
Ge (0.5000, 0.5000, 0.5000)  4 As 2.46, 2 Se 2.47
As (0.0000, 0.5000, 0.5000)  2 Ge 2.46
As (0.5000, 0.0000, 0.5000)  2 Ge 2.46
Se (0.5000, 0.5000, 0.0000)  2 Ge 2.47

***

(4)
An optimized crystal structure of Dy2ErPaBi4, computed with PBE-GGA.

Total magnetization   0.133 μB/atom
DFT formation energy   -0.64 eV per atom

Cell: 7.7409 4.4619 7.7470 Å, 90.00 109.26 90.00°
Closest atoms and distances in Å follow each position.
Fractional positions:
Dy (0.0000, 0.0000, 0.0000)  6 Bi 3.15-3.16
Dy (0.5000, 0.5000, 0.0000)  6 Bi 3.17
Er (0.0000, 0.5000, 0.5000)  6 Bi 3.15
Pa (0.5000, 0.0000, 0.5000)  6 Bi 3.16-3.17
Bi (0.2475, 0.5000, 0.2490)  1 Er 3.15, 3 Dy 3.15-3.17, 2 Pa 3.17
Bi (0.2486, 0.0000, 0.7484)  2 Er 3.15, 1 Pa 3.16, 3 Dy 3.16-3.17
Bi (0.7514, 0.0000, 0.2516)  2 Er 3.15, 1 Pa 3.16, 3 Dy 3.16-3.17
Bi (0.7525, 0.5000, 0.7510)  1 Er 3.15, 3 Dy 3.15-3.17, 2 Pa 3.17

***

(5)
An optimized crystal structure of TaCd2Mo, computed with PBE-GGA.

Total magnetization   0.000 μB/atom
DFT formation energy   0.47 eV per atom

Cell: 5.1442 5.1442 5.1442 Å, 132.03 132.03 70.17°
Closest atoms and distances in Å follow each position.
Fractional positions:
Ta (0.0000, 0.0000, 0.0000)  8 Cd 2.96-2.97, 4 Mo 2.97
Cd (0.2500, 0.7500, 0.5000)  4 Mo 2.96, 4 Cd 2.97, 4 Ta 2.97
Cd (0.5000, 0.5000, 0.0000)  4 Ta 2.96, 4 Mo 2.97, 4 Cd 2.97
Mo (0.7500, 0.2500, 0.5000)  8 Cd 2.96-2.97, 4 Ta 2.97

***

(6)
An optimized crystal structure of ZnGaIrPd, computed with PBE-GGA.

Total magnetization   0.000 μB/atom
DFT formation energy   -0.43 eV per atom

Cell: 4.3309 4.3309 4.3309 Å, 60.00 60.00 60.00°
Closest atoms and distances in Å follow each position.
Fractional positions:
Zn (0.0000, 0.0000, 0.0000)  4 Ir 2.65, 4 Pd 2.65
Ga (0.5000, 0.5000, 0.5000)  4 Ir 2.65, 4 Pd 2.65
Ir (0.7500, 0.7500, 0.7500)  4 Zn 2.65, 4 Ga 2.65
Pd (0.2500, 0.2500, 0.2500)  4 Zn 2.65, 4 Ga 2.65

***

(7)
An optimized crystal structure of AlNiP2, computed with PBE-GGA.

Total magnetization   0.000 μB/atom
DFT formation energy   -0.02 eV per atom

Cell: 4.1965 4.1965 3.8370 Å, 105.88 105.88 106.31°
Closest atoms and distances in Å follow each position.
Fractional positions:
Al (0.0000, 0.0000, 0.0000)  4 P 2.42, 2 Ni 2.52
Ni (0.5000, 0.5000, 0.0000)  4 P 2.42, 2 Al 2.52
P (0.0000, 0.5000, 0.5000)  2 Ni 2.42, 2 Al 2.42, 2 P 2.52
P (0.5000, 0.0000, 0.5000)  2 Ni 2.42, 2 Al 2.42, 2 P 2.52

***

(8)
An optimized crystal structure of Ti3AuN, computed with PBE-GGA.

Raw formation energy   -57 kJ/mol of atoms
Total magnetization   0.000 μB/atom

Cell: 7.7555 7.7555 7.7555 Å, 60.00 60.00 60.00°
Closest atoms and distances in Å follow each position.
Fractional positions:
Ti (0.0619, 0.0619, 0.6881)  2 N 2.05
Ti (0.0619, 0.6881, 0.0619)  2 N 2.05
Ti (0.0619, 0.6881, 0.6881)  2 N 2.05
Ti (0.3119, 0.3119, 0.9381)  2 N 2.05
Ti (0.3119, 0.9381, 0.3119)  2 N 2.05
Ti (0.3119, 0.9381, 0.9381)  2 N 2.05
Ti (0.6881, 0.0619, 0.0619)  2 N 2.05
Ti (0.6881, 0.0619, 0.6881)  2 N 2.05
Ti (0.6881, 0.6881, 0.0619)  2 N 2.05
Ti (0.9381, 0.3119, 0.3119)  2 N 2.05
Ti (0.9381, 0.3119, 0.9381)  2 N 2.05
Ti (0.9381, 0.9381, 0.3119)  2 N 2.05
Au (0.0000, 0.5000, 0.5000)  6 Ti 2.83
Au (0.5000, 0.0000, 0.5000)  6 Ti 2.83
Au (0.5000, 0.5000, 0.0000)  6 Ti 2.83
Au (0.5000, 0.5000, 0.5000)  6 Ti 2.83
N (0.0000, 0.0000, 0.0000)  6 Ti 2.05
N (0.0000, 0.0000, 0.5000)  6 Ti 2.05
N (0.0000, 0.5000, 0.0000)  6 Ti 2.05
N (0.5000, 0.0000, 0.0000)  6 Ti 2.05

***

(9)
An optimized crystal structure of Tl2Co, computed with PBE-GGA.

Total magnetization   0.363 μB/atom
DFT formation energy   0.52 eV per atom

Cell: 6.4870 6.4870 6.4870 Å, 150.77 150.77 41.82°
Closest atoms and distances in Å follow each position.
Fractional positions:
Tl (0.1349, 0.1349, 0.0000)  4 Co 2.83
Tl (0.8651, 0.8651, 0.0000)  4 Co 2.83
Co (0.5000, 0.5000, 0.0000)  8 Tl 2.83

***

(10)
An optimized crystal structure of CaEr2PaN4, computed with PBE-GGA.

Raw formation energy   -155 kJ/mol of atoms
Total magnetization   0.000 μB/atom

Cell: 5.9534 3.4876 5.9741 Å, 90.00 108.52 90.00°
Closest atoms and distances in Å follow each position.
Fractional positions:
Ca (0.0000, 0.0000, 0.0000)  6 N 2.47-2.53
Er (0.0000, 0.5000, 0.5000)  6 N 2.48-2.56
Er (0.5000, 0.0000, 0.5000)  6 N 2.37-2.41
Pa (0.5000, 0.5000, 0.0000)  6 N 2.29-2.45
N (0.2589, 0.0000, 0.7491)  3 Er 2.37-2.48, 2 Pa 2.45, 1 Ca 2.47
N (0.2759, 0.5000, 0.2476)  1 Pa 2.29, 3 Er 2.41-2.56, 2 Ca 2.53
N (0.7241, 0.5000, 0.7524)  1 Pa 2.29, 3 Er 2.41-2.56, 2 Ca 2.53
N (0.7411, 0.0000, 0.2509)  3 Er 2.37-2.48, 2 Pa 2.45, 1 Ca 2.47

***

(11)
An optimized crystal structure of RbTcS2, computed with PBE-GGA.

Raw formation energy   44 kJ/mol of atoms
Total magnetization   0.000 μB/atom

Cell: 4.7055 4.7055 4.7055 Å, 60.00 60.00 60.00°
Closest atoms and distances in Å follow each position.
Fractional positions:
Rb (0.0000, 0.0000, 0.0000)  8 S 2.88
Tc (0.5000, 0.5000, 0.5000)  8 S 2.88
S (0.2500, 0.2500, 0.2500)  4 Tc 2.88, 4 Rb 2.88
S (0.7500, 0.7500, 0.7500)  4 Tc 2.88, 4 Rb 2.88

***

(12)
An optimized crystal structure of GdScAgPb, computed with PBE-GGA.

Total magnetization   1.999 μB/atom
DFT formation energy   -0.37 eV per atom

Cell: 5.1752 5.1752 5.1752 Å, 60.00 60.00 60.00°
Closest atoms and distances in Å follow each position.
Fractional positions:
Gd (0.0000, 0.0000, 0.0000)  4 Pb 3.17, 4 Ag 3.17
Sc (0.5000, 0.5000, 0.5000)  4 Pb 3.17, 4 Ag 3.17
Ag (0.2500, 0.2500, 0.2500)  4 Gd 3.17, 4 Sc 3.17
Pb (0.7500, 0.7500, 0.7500)  4 Gd 3.17, 4 Sc 3.17